Computed, not measured: a geometry-optimized Mn2FeCu structure at the GGA-PBE level of DFT.

Summary:
total magnetic moment	2.71	Bohr magnetons per cell
ρ	8.6	g/cm³
total energy	-7.464	eV/atom
formation energy	0.2609	eV/atom

Cell lengths 4.437, 4.437, 2.434 Å; angles 90.00, 90.00, 112.57 degrees
Atoms (fractional coordinates):
Mn  0.000  0.000  0.000
Mn  0.500  0.500  0.000
Cu  0.500  0.000  0.500
Fe  0.000  0.500  0.500